Entry from OQMD: a relaxed structure of SmTmAg2Pb2 (PBE-GGA).

The structure in CIF format:
```
data_SmTmAg2Pb2
_cell_length_a 4.8140
_cell_length_b 4.8140
_cell_length_c 7.4747
_cell_angle_alpha 90.00
_cell_angle_beta 90.00
_cell_angle_gamma 120.00
_space_group_name_H-M_alt 'P 3 m 1'
_space_group_IT_number 156
loop_
_space_group_symop_operation_xyz
'x,y,z'
'-y,x-y,z'
'-x+y,-x,z'
'-y,-x,z'
'-x+y,y,z'
'x,x-y,z'
loop_
_atom_site_label
_atom_site_type_symbol
_atom_site_fract_x
_atom_site_fract_y
_atom_site_fract_z
Sm1 Sm 0.0000 0.0000 0.0000
Tm1 Tm 0.0000 0.0000 0.5014
Ag1 Ag 0.3333 0.6667 0.1946
Ag2 Ag 0.6667 0.3333 0.6814
Pb1 Pb 0.3333 0.6667 0.7766
Pb2 Pb 0.6667 0.3333 0.2835
```

Entry from OQMD: a relaxed structure of PaNi (PBE-GGA).

The structure in CIF format:
```
data_PaNi
_cell_length_a 3.1904
_cell_length_b 3.1904
_cell_length_c 4.1791
_cell_angle_alpha 90.00
_cell_angle_beta 90.00
_cell_angle_gamma 120.00
_space_group_name_H-M_alt 'P -6 m 2'
_space_group_IT_number 187
_space_group_name_Hall 'P -6 2'
loop_
_atom_site_label
_atom_site_type_symbol
_atom_site_fract_x
_atom_site_fract_y
_atom_site_fract_z
Pa1 Pa 0.0000 0.0000 0.0000
Ni1 Ni 0.3333 0.6667 0.5000
```

Results
As for the formation energy from the elements: 0.74 eV per atom.

Entry from OQMD: a relaxed structure of Y3Sc3SbTeOs (PBE-GGA).

The structure in CIF format:
```
data_Y3Sc3SbTeOs
_cell_length_a 7.8935
_cell_length_b 7.8935
_cell_length_c 4.0999
_cell_angle_alpha 90.00
_cell_angle_beta 90.00
_cell_angle_gamma 120.00
_space_group_name_H-M_alt 'P -6'
_space_group_IT_number 174
loop_
_space_group_symop_operation_xyz
'x,y,z'
'-x+y,-x,-z'
'-y,x-y,z'
'x,y,-z'
'-x+y,-x,z'
'-y,x-y,-z'
loop_
_atom_site_label
_atom_site_type_symbol
_atom_site_fract_x
_atom_site_fract_y
_atom_site_fract_z
Y1 Y 0.0038 0.6103 0.0000
Sc1 Sc 0.0013 0.2287 0.5000
Sb1 Sb 0.3333 0.6667 0.5000
Te1 Te 0.6667 0.3333 0.5000
Os1 Os 0.0000 0.0000 0.0000
```

Entry from OQMD: a relaxed structure of NaBeNiSb (PBE-GGA).

The structure in CIF format:
```
data_NaBeNiSb
_cell_length_a 6.279
_cell_length_b 6.279
_cell_length_c 6.279
_cell_angle_alpha 90.00
_cell_angle_beta 90.00
_cell_angle_gamma 90.00
_space_group_name_H-M_alt 'F -4 3 m'
_space_group_IT_number 216
_space_group_name_Hall 'F -4 2 3'
loop_
_atom_site_label
_atom_site_type_symbol
_atom_site_fract_x
_atom_site_fract_y
_atom_site_fract_z
Na1 Na 0.000 0.000 0.000
Be1 Be 0.250 0.250 0.250
Ni1 Ni 0.000 0.000 0.500
Sb1 Sb 0.250 0.250 0.750
```

Results
The relative energy among the computed polymorphs comes out at 0 meV/atom.

Entry from OQMD: a relaxed structure of Y3As3W2N12 (PBE-GGA).

The structure in CIF format:
```
data_Y3As3W2N12
_cell_length_a 12.445
_cell_length_b 12.445
_cell_length_c 12.445
_cell_angle_alpha 90.00
_cell_angle_beta 90.00
_cell_angle_gamma 90.00
_space_group_name_H-M_alt 'I a -3 d'
_space_group_IT_number 230
_space_group_name_Hall '-I 4bd 2c 3'
loop_
_atom_site_label
_atom_site_type_symbol
_atom_site_fract_x
_atom_site_fract_y
_atom_site_fract_z
Y1 Y 0.000 0.250 0.125
As1 As 0.000 0.250 0.375
W1 W 0.000 0.000 0.000
N1 N 0.034 0.053 0.650
```

Entry from OQMD: a relaxed structure of Nd5S6 (PBE-GGA).

The structure in CIF format:
```
data_Nd5S6
_cell_length_a 7.047
_cell_length_b 12.176
_cell_length_c 7.001
_cell_angle_alpha 90.00
_cell_angle_beta 109.47
_cell_angle_gamma 90.00
_space_group_name_H-M_alt 'C 1 2/m 1'
_space_group_IT_number 12
loop_
_space_group_symop_operation_xyz
'x,y,z'
'-x,-y,-z'
'-x,y,-z'
'x,-y,z'
'x+1/2,y+1/2,z'
'-x+1/2,-y+1/2,-z'
'-x+1/2,y+1/2,-z'
'x+1/2,-y+1/2,z'
loop_
_atom_site_label
_atom_site_type_symbol
_atom_site_fract_x
_atom_site_fract_y
_atom_site_fract_z
Nd1 Nd 0.000 0.000 0.000
Nd2 Nd 0.000 0.166 0.500
Nd3 Nd 0.000 0.338 0.000
S1 S 0.248 0.168 0.247
S2 S 0.249 0.000 0.746
```

Number 1: total DFT energy (no corrections) -4.113 eV/atom. Number 2: total DFT energy (no corrections) -6.796 eV/atom. Number 3: total DFT energy (no corrections) -7.093 eV/atom. Number 4: total DFT energy (no corrections) -3.417 eV/atom. Number 5: total DFT energy (no corrections) -8.432 eV/atom. Number 6: total DFT energy (no corrections) -6.467 eV/atom.